1.
VASP calculation (PBE-GGA) on an optimized crystal structure of K2RbHg2Sb2.

Calculated values
- Uncorrected energy: -14.2 eV for the cell shown
- D(E_F): 2.33 states/eV per cell
- Symmetry: No. 166

a = 5.2923 Å, b = 5.2923 Å, c = 11.3475 Å
α = 76.51°, β = 76.51°, γ = 60.00°
With the nearest neighbours (Å) after each atom.
Fractional coordinates of all 7 atoms:
Sb (0.2535, 0.2535, 0.2396)  3 Hg 3.06
Sb (0.7465, 0.7465, 0.7604)  3 Hg 3.06
Hg (0.4096, 0.4096, 0.7712)  3 Sb 3.06
Hg (0.5904, 0.5904, 0.2288)  3 Sb 3.06
K (0.8672, 0.8672, 0.3983)  3 Sb 3.51, 3 Hg 3.57, 3 K 3.78
K (0.1328, 0.1328, 0.6017)  3 Sb 3.51, 3 Hg 3.57, 3 K 3.78
Rb (0.0000, 0.0000, 0.0000)  6 Hg 3.95, 6 Sb 4.02, 2 K 4.35

***

2.
VASP calculation (PBE-GGA) on an optimized crystal structure of La5Sb2N.

Calculated values
- Uncorrected energy: -95.2 eV for the cell shown
- D(E_F): 13.62 states/eV per cell
- Symmetry: No. 63

a = 5.8424 Å, b = 5.9161 Å, c = 15.8179 Å
α = 90.00°, β = 90.00°, γ = 119.59°
With the nearest neighbours (Å) after each atom.
Fractional coordinates of all 16 atoms:
La (0.9082, 0.8164, 0.6314)  1 N 2.49
La (0.0918, 0.1836, 0.3686)  1 N 2.49
La (0.9082, 0.8164, 0.8686)  1 N 2.49
La (0.2496, 0.4992, 0.7500)  2 N 2.92, 2 Sb 3.08
La (0.4088, 0.8175, 0.3686)  1 N 2.48
La (0.0918, 0.1836, 0.1314)  1 N 2.49
La (0.5912, 0.1825, 0.6314)  1 N 2.48
La (0.5912, 0.1825, 0.8686)  1 N 2.48
La (0.4088, 0.8175, 0.1314)  1 N 2.48
La (0.7504, 0.5008, 0.2500)  2 N 2.92, 2 Sb 3.08
Sb (0.7505, 0.5010, 0.0555)  3 La 3.08-3.38, 2 Sb 3.41
Sb (0.2495, 0.4990, 0.5555)  3 La 3.08-3.38, 2 Sb 3.41
Sb (0.2495, 0.4990, 0.9445)  3 La 3.08-3.38, 2 Sb 3.41
Sb (0.7505, 0.5010, 0.4445)  3 La 3.08-3.38, 2 Sb 3.41
N (0.2505, 0.5009, 0.2500)  4 La 2.48-2.49
N (0.7495, 0.4991, 0.7500)  4 La 2.48-2.49

***

3.
VASP calculation (PBE-GGA) on an optimized crystal structure of K3Fe5Cl12.

Calculated values
- Uncorrected energy: -352.4 eV for the cell shown
- D(E_F): 93.93 states/eV per cell
- Symmetry: No. 230

a = 13.8253 Å, b = 13.8253 Å, c = 13.8253 Å
α = 109.47°, β = 109.47°, γ = 109.47°
With the nearest neighbours (Å) after each atom.
Fractional coordinates of all 80 atoms:
Fe (0.0000, 0.5000, 0.0000)  6 Cl 2.51
Fe (0.5000, 0.5000, 0.0000)  6 Cl 2.51
Fe (0.2500, 0.3750, 0.6250)  4 Cl 2.33
Fe (0.8750, 0.2500, 0.6250)  4 Cl 2.33
Fe (0.6250, 0.8750, 0.2500)  4 Cl 2.33
Fe (0.5000, 0.0000, 0.0000)  6 Cl 2.51
Fe (0.3750, 0.1250, 0.7500)  4 Cl 2.33
Fe (0.7500, 0.6250, 0.3750)  4 Cl 2.33
Fe (0.6250, 0.7500, 0.8750)  4 Cl 2.33
Fe (0.8750, 0.6250, 0.7500)  4 Cl 2.33
Fe (0.0000, 0.0000, 0.5000)  6 Cl 2.51
Fe (0.2500, 0.8750, 0.1250)  4 Cl 2.33
Fe (0.1250, 0.3750, 0.2500)  4 Cl 2.33
Fe (0.7500, 0.1250, 0.8750)  4 Cl 2.33
Fe (0.5000, 0.5000, 0.5000)  6 Cl 2.51
Fe (0.1250, 0.7500, 0.3750)  4 Cl 2.33
Fe (0.0000, 0.0000, 0.0000)  6 Cl 2.51
Fe (0.0000, 0.5000, 0.5000)  6 Cl 2.51
Fe (0.5000, 0.0000, 0.5000)  6 Cl 2.51
Fe (0.3750, 0.2500, 0.1250)  4 Cl 2.33
Cl (0.8188, 0.9160, 0.3061)  2 Fe 2.33-2.51
Cl (0.1812, 0.0972, 0.9872)  2 Fe 2.33-2.51
Cl (0.4160, 0.3061, 0.3188)  2 Fe 2.33-2.51
Cl (0.1812, 0.0840, 0.6939)  2 Fe 2.33-2.51
Cl (0.6939, 0.5840, 0.1812)  2 Fe 2.33-2.51
Cl (0.0972, 0.1812, 0.4872)  2 Fe 2.33-2.51
Cl (0.4160, 0.1099, 0.5972)  2 Fe 2.33-2.51
Cl (0.4028, 0.3901, 0.5840)  2 Fe 2.33-2.51
Cl (0.5972, 0.9872, 0.6812)  2 Fe 2.33-2.51
Cl (0.5128, 0.3188, 0.9028)  2 Fe 2.33-2.51
Cl (0.0128, 0.4028, 0.8188)  2 Fe 2.33-2.51
Cl (0.9160, 0.8188, 0.8061)  2 Fe 2.33-2.51
Cl (0.5128, 0.1939, 0.1099)  2 Fe 2.33-2.51
Cl (0.8188, 0.9028, 0.0128)  2 Fe 2.33-2.51
Cl (0.5840, 0.8901, 0.4028)  2 Fe 2.33-2.51
Cl (0.8901, 0.3061, 0.4872)  2 Fe 2.33-2.51
Cl (0.6939, 0.1099, 0.0128)  2 Fe 2.33-2.51
Cl (0.0128, 0.6099, 0.6939)  2 Fe 2.33-2.51
Cl (0.1939, 0.6812, 0.0840)  2 Fe 2.33-2.51
Cl (0.1099, 0.4160, 0.0972)  2 Fe 2.33-2.51
Cl (0.8901, 0.5840, 0.9028)  2 Fe 2.33-2.51
Cl (0.6812, 0.1939, 0.5840)  2 Fe 2.33-2.51
Cl (0.3188, 0.5128, 0.4028)  2 Fe 2.33-2.51
Cl (0.6099, 0.5972, 0.9160)  2 Fe 2.33-2.51
Cl (0.6812, 0.4872, 0.5972)  2 Fe 2.33-2.51
Cl (0.3061, 0.8901, 0.9872)  2 Fe 2.33-2.51
Cl (0.0972, 0.9160, 0.1099)  2 Fe 2.33-2.51
Cl (0.6099, 0.0128, 0.1939)  2 Fe 2.33-2.51
Cl (0.4872, 0.8061, 0.8901)  2 Fe 2.33-2.51
Cl (0.4872, 0.6812, 0.0972)  2 Fe 2.33-2.51
Cl (0.5840, 0.6939, 0.6812)  2 Fe 2.33-2.51
Cl (0.9028, 0.8188, 0.5128)  2 Fe 2.33-2.51
Cl (0.9872, 0.5972, 0.1812)  2 Fe 2.33-2.51
Cl (0.3901, 0.9872, 0.8061)  2 Fe 2.33-2.51
Cl (0.8061, 0.3188, 0.9160)  2 Fe 2.33-2.51
Cl (0.8061, 0.4872, 0.3901)  2 Fe 2.33-2.51
Cl (0.5972, 0.6099, 0.4160)  2 Fe 2.33-2.51
Cl (0.4028, 0.0128, 0.3188)  2 Fe 2.33-2.51
Cl (0.9160, 0.0972, 0.6099)  2 Fe 2.33-2.51
Cl (0.3901, 0.4028, 0.0840)  2 Fe 2.33-2.51
Cl (0.9028, 0.0840, 0.8901)  2 Fe 2.33-2.51
Cl (0.1099, 0.6939, 0.5128)  2 Fe 2.33-2.51
Cl (0.1939, 0.5128, 0.6099)  2 Fe 2.33-2.51
Cl (0.3188, 0.8061, 0.4160)  2 Fe 2.33-2.51
Cl (0.3061, 0.4160, 0.8188)  2 Fe 2.33-2.51
Cl (0.0840, 0.9028, 0.3901)  2 Fe 2.33-2.51
Cl (0.0840, 0.1812, 0.1939)  2 Fe 2.33-2.51
Cl (0.9872, 0.3901, 0.3061)  2 Fe 2.33-2.51
K (0.8750, 0.7500, 0.1250)  8 Cl 3.15-3.28
K (0.1250, 0.2500, 0.8750)  8 Cl 3.15-3.28
K (0.7500, 0.8750, 0.6250)  8 Cl 3.15-3.28
K (0.8750, 0.1250, 0.2500)  8 Cl 3.15-3.28
K (0.1250, 0.8750, 0.7500)  8 Cl 3.15-3.28
K (0.2500, 0.1250, 0.3750)  8 Cl 3.15-3.28
K (0.6250, 0.3750, 0.7500)  8 Cl 3.15-3.28
K (0.7500, 0.3750, 0.1250)  8 Cl 3.15-3.28
K (0.2500, 0.6250, 0.8750)  8 Cl 3.15-3.28
K (0.6250, 0.2500, 0.3750)  8 Cl 3.15-3.28
K (0.3750, 0.6250, 0.2500)  8 Cl 3.15-3.28
K (0.3750, 0.7500, 0.6250)  8 Cl 3.15-3.28

***

4.
VASP calculation (PBE-GGA) on an optimized crystal structure of BaRu2Se.

Calculated values
- Uncorrected energy: -21.1 eV for the cell shown
- D(E_F): 3.79 states/eV per cell
- Symmetry: No. 119

a = 5.0941 Å, b = 5.0941 Å, c = 5.0941 Å
α = 124.19°, β = 124.19°, γ = 82.88°
With the nearest neighbours (Å) after each atom.
Fractional coordinates of all 4 atoms:
Ba (0.7500, 0.2500, 0.5000)  4 Se 3.05, 8 Ru 3.05-3.37
Ru (0.0000, 0.0000, 0.0000)  4 Ba 3.05, 4 Ru 3.05, 4 Se 3.37
Ru (0.2500, 0.7500, 0.5000)  4 Se 3.05, 4 Ru 3.05, 4 Ba 3.37
Se (0.5000, 0.5000, 0.0000)  4 Ba 3.05, 8 Ru 3.05-3.37